Ho2TlC: optimized geometry, GGA-PBE.

abc: 8.338 8.338 8.338
angles: 24.95 24.95 24.95
Positions (direct):
Ho: 0.222 0.222 0.222
Ho: 0.778 0.778 0.778
Tl: 0.000 0.000 0.000
C: 0.500 0.500 0.500

Values from the calculation:
Space-group type: No. 166



Ho5Tl2C2: optimized geometry, GGA-PBE.

abc: 4.802 4.802 9.665
angles: 90.00 90.00 90.00
Positions (direct):
Ho: 0.000 0.000 0.000
Ho: 0.000 0.500 0.279
Ho: 0.000 0.500 0.721
Ho: 0.500 0.000 0.279
Ho: 0.500 0.000 0.721
Tl: 0.500 0.500 0.000
Tl: 0.500 0.500 0.500
C: 0.000 0.000 0.240
C: 0.000 0.000 0.760

Values from the calculation:
Space-group type: No. 123



Ho8Tl2C3: optimized geometry, GGA-PBE.

abc: 8.365 8.365 6.321
angles: 104.45 104.45 50.97
Positions (direct):
Ho: 0.096 0.096 0.895
Ho: 0.154 0.671 0.614
Ho: 0.329 0.846 0.386
Ho: 0.396 0.396 0.051
Ho: 0.604 0.604 0.949
Ho: 0.671 0.154 0.614
Ho: 0.846 0.329 0.386
Ho: 0.904 0.904 0.105
Tl: 0.256 0.256 0.346
Tl: 0.744 0.744 0.654
C: 0.000 0.000 0.500
C: 0.254 0.746 0.000
C: 0.746 0.254 0.000

Values from the calculation:
Space-group type: No. 12



Ho12Tl6C: optimized geometry, GGA-PBE.

abc: 8.206 8.206 8.206
angles: 94.84 94.84 94.84
Positions (direct):
Ho: 0.031 0.712 0.925
Ho: 0.075 0.969 0.288
Ho: 0.202 0.536 0.417
Ho: 0.288 0.075 0.969
Ho: 0.417 0.202 0.536
Ho: 0.464 0.583 0.798
Ho: 0.536 0.417 0.202
Ho: 0.583 0.798 0.464
Ho: 0.712 0.925 0.031
Ho: 0.798 0.464 0.583
Ho: 0.925 0.031 0.712
Ho: 0.969 0.288 0.075
Tl: 0.142 0.360 0.745
Tl: 0.255 0.858 0.640
Tl: 0.360 0.745 0.142
Tl: 0.640 0.255 0.858
Tl: 0.745 0.142 0.360
Tl: 0.858 0.640 0.255
C: 0.000 0.000 0.000

Values from the calculation:
Space-group type: No. 148



Ho7Tl4C: optimized geometry, GGA-PBE.

abc: 8.701 8.701 11.256
angles: 128.32 128.32 32.79
Positions (direct):
Ho: 0.000 0.000 0.000
Ho: 0.126 0.126 0.546
Ho: 0.271 0.271 0.143
Ho: 0.457 0.457 0.761
Ho: 0.543 0.543 0.239
Ho: 0.729 0.729 0.857
Ho: 0.874 0.874 0.454
Tl: 0.092 0.092 0.789
Tl: 0.223 0.223 0.376
Tl: 0.777 0.777 0.624
Tl: 0.908 0.908 0.211
C: 0.500 0.500 0.000

Values from the calculation:
Space-group type: No. 12



Ho2Tl2C: optimized geometry, GGA-PBE.

abc: 3.615 3.615 10.685
angles: 99.82 99.82 59.98
Positions (direct):
Ho: 0.125 0.125 0.375
Ho: 0.875 0.875 0.625
Tl: 0.294 0.294 0.881
Tl: 0.706 0.706 0.119
C: 0.500 0.500 0.500

Values from the calculation:
Space-group type: No. 12



Ho2TmTlC: optimized geometry, GGA-PBE.

abc: 4.893 4.893 4.839
angles: 90.00 90.00 90.00
Positions (direct):
Ho: 0.000 0.500 0.000
Ho: 0.500 0.000 0.000
Tm: 0.000 0.000 0.500
Tl: 0.500 0.500 0.500
C: 0.000 0.000 0.000

Values from the calculation:
Space-group type: No. 123



Ho2Tm4C: optimized geometry, GGA-PBE.

abc: 9.461 9.461 9.461
angles: 150.88 150.88 41.65
Positions (direct):
Ho: 0.174 0.174 0.000
Ho: 0.826 0.826 0.000
Tm: 0.000 0.500 0.500
Tm: 0.367 0.367 0.000
Tm: 0.500 0.000 0.500
Tm: 0.633 0.633 0.000
C: 0.500 0.500 0.000

Values from the calculation:
Space-group type: No. 139



Ho3TmC2: optimized geometry, GGA-PBE.

abc: 7.092 7.092 6.184
angles: 90.00 90.00 120.00
Positions (direct):
Ho: 0.167 0.333 0.218
Ho: 0.167 0.833 0.218
Ho: 0.333 0.167 0.782
Ho: 0.667 0.833 0.218
Ho: 0.833 0.167 0.782
Ho: 0.833 0.667 0.782
Tm: 0.333 0.667 0.788
Tm: 0.667 0.333 0.212
C: 0.000 0.000 0.000
C: 0.000 0.500 0.000
C: 0.500 0.000 0.000
C: 0.500 0.500 0.000

Values from the calculation:
Space-group type: No. 164



Ho2TmC: optimized geometry, GGA-PBE.

abc: 9.715 9.715 9.715
angles: 20.84 20.84 20.84
Positions (direct):
Ho: 0.120 0.120 0.120
Ho: 0.880 0.880 0.880
Tm: 0.000 0.000 0.000
C: 0.500 0.500 0.500

Values from the calculation:
Space-group type: No. 166



HoTm3C2: optimized geometry, GGA-PBE.

abc: 7.099 7.099 7.279
angles: 119.26 119.26 60.02
Positions (direct):
Ho: 0.242 0.242 0.225
Ho: 0.758 0.758 0.775
Tm: 0.239 0.740 0.219
Tm: 0.260 0.260 0.781
Tm: 0.260 0.761 0.781
Tm: 0.740 0.239 0.219
Tm: 0.740 0.740 0.219
Tm: 0.761 0.260 0.781
C: 0.000 0.000 0.000
C: 0.000 0.500 0.000
C: 0.500 0.000 0.000
C: 0.500 0.500 0.000

Values from the calculation:
Space-group type: No. 12



Ho4Tm2C: optimized geometry, GGA-PBE.

abc: 9.387 9.387 9.387
angles: 150.28 150.28 42.54
Positions (direct):
Ho: 0.000 0.500 0.500
Ho: 0.135 0.135 0.000
Ho: 0.500 0.000 0.500
Ho: 0.865 0.865 0.000
Tm: 0.330 0.330 0.000
Tm: 0.670 0.670 0.000
C: 0.000 0.000 0.000

Values from the calculation:
Space-group type: No. 139



Quick rundown of DOS(E_F), same order as above: 0.862 0.931 0.834 0.758 0.672 0.607 0.166 1.490 0.763 1.121 0.643 1.401 states/eV/atom
Quick rundown of VASP energy, same order as above: -5.581 -5.288 -5.535 -4.335 -4.282 -4.923 -5.528 -5.058 -6.396 -5.787 -6.406 -5.064 eV per atom
Quick rundown of ΔE_f, same order as above: -1.58 -1.52 -2.93 -4.01 -0.65 -1.50 -2.42 0.86 -1.73 -0.30 -2.00 1.03 eV per formula unit